*A*
HOs (PBE, optimized geometry); size of the total moment = 0.000 Bohr magnetons per cell; Fermi-level density of states = 6.86 states/eV/cell
1.0
4.354 0.000 0.000
0.000 4.681 0.000
0.000 0.000 7.386
H Os
8 8
direct
0.529 0.718 0.483
0.063 0.126 0.241
0.563 0.374 0.759
0.971 0.282 0.983
0.029 0.782 0.517
0.937 0.626 0.259
0.471 0.218 0.017
0.437 0.874 0.741
0.338 0.622 0.286
0.662 0.122 0.214
0.838 0.878 0.714
0.162 0.378 0.786
0.773 0.618 0.040
0.227 0.118 0.460
0.273 0.882 0.960
0.727 0.382 0.540

---

*B*
HOs (PBE, optimized geometry); size of the total moment = 0.000 Bohr magnetons per cell; Fermi-level density of states = 2.09 states/eV/cell
1.0
4.037 0.000 0.000
0.000 2.859 0.000
0.000 0.000 2.858
H Os
2 2
direct
0.000 0.500 0.032
0.500 0.000 0.532
0.000 0.000 0.566
0.500 0.500 0.066

---

So which one wins? Going from most stable to least: *B*, *A*.

---

*A*
HOs (PBE, optimized geometry); size of the total moment = 0.000 Bohr magnetons per cell; Fermi-level density of states = 4.13 states/eV/cell
1.0
-4.798 -7.860 -0.952
2.331 -1.374 -0.409
0.343 -0.753 4.485
H Os
6 6
direct
0.000 0.000 0.228
0.594 0.000 0.346
0.406 0.000 0.346
0.500 0.500 0.728
0.094 0.500 0.846
0.906 0.500 0.846
0.000 0.500 0.505
0.280 0.500 0.788
0.720 0.500 0.788
0.780 0.000 0.288
0.500 0.000 0.005
0.220 0.000 0.288

---

*B*
HOs (PBE, optimized geometry); size of the total moment = 0.000 Bohr magnetons per cell; Fermi-level density of states = 6.35 states/eV/cell
1.0
-0.921 -0.235 -4.025
-3.993 -0.515 0.944
-0.555 4.097 -0.112
H Os
4 4
direct
0.500 0.500 0.000
0.500 0.000 0.500
0.000 0.000 0.000
0.000 0.500 0.500
0.250 0.250 0.250
0.250 0.750 0.750
0.750 0.250 0.750
0.750 0.750 0.250

---

*C*
HOs (PBE, optimized geometry); size of the total moment = 0.000 Bohr magnetons per cell; Fermi-level density of states = 2.78 states/eV/cell
1.0
2.923 0.000 0.000
-1.461 2.531 0.000
0.000 0.000 4.801
H Os
2 2
direct
0.333 0.667 0.354
0.667 0.333 0.854
0.333 0.667 0.728
0.667 0.333 0.228

---

So which one wins? Going from most stable to least: *A*, *B*, *C*.

---

*A*
HOs (PBE, optimized geometry); size of the total moment = 0.000 Bohr magnetons per cell; Fermi-level density of states = 14.36 states/eV/cell
1.0
5.094 0.000 0.000
0.000 5.094 0.000
0.000 0.000 5.094
H Os
6 6
direct
0.250 0.000 0.500
0.000 0.500 0.750
0.750 0.000 0.500
0.000 0.500 0.250
0.500 0.250 0.000
0.500 0.750 0.000
0.500 0.000 0.750
0.500 0.000 0.250
0.750 0.500 0.000
0.250 0.500 0.000
0.000 0.250 0.500
0.000 0.750 0.500

---

*B*
HOs (PBE, optimized geometry); size of the total moment = 0.000 Bohr magnetons per cell; Fermi-level density of states = 8.70 states/eV/cell
1.0
7.764 0.000 0.000
0.000 7.764 0.000
0.000 0.000 2.754
Os H
8 8
direct
0.383 0.871 0.000
0.842 0.324 0.500
0.617 0.129 0.000
0.676 0.842 0.500
0.129 0.383 0.000
0.871 0.617 0.000
0.324 0.158 0.500
0.158 0.676 0.500
0.854 0.851 0.000
0.146 0.149 0.000
0.149 0.854 0.000
0.629 0.362 0.500
0.371 0.638 0.500
0.851 0.146 0.000
0.638 0.629 0.500
0.362 0.371 0.500

---

So which one wins? Going from most stable to least: *B*, *A*.

---

*A*
PH2Os (PBE, optimized geometry); size of the total moment = 0.000 Bohr magnetons per cell; Fermi-level density of states = 2.27 states/eV/cell
1.0
0.000 2.572 2.572
2.572 0.000 2.572
2.572 2.572 0.000
H P Os
2 1 1
direct
0.750 0.750 0.750
0.250 0.250 0.250
0.000 0.000 0.000
0.500 0.500 0.500

---

*B*
PH2Os (PBE, optimized geometry); size of the total moment = 0.000 Bohr magnetons per cell; Fermi-level density of states = 3.25 states/eV/cell
1.0
-2.646 1.010 1.879
-2.089 -0.616 -2.609
-3.244 -6.230 1.856
Os H P
2 4 2
direct
0.750 0.250 0.500
0.000 0.000 0.000
0.875 0.625 0.250
0.375 0.125 0.750
0.875 0.125 0.250
0.875 0.125 0.750
0.250 0.750 0.500
0.500 0.500 0.000

---

So which one wins? Going from most stable to least: *B*, *A*.

---

*A*
PHOs2 (PBE, optimized geometry); size of the total moment = 0.000 Bohr magnetons per cell; Fermi-level density of states = 2.86 states/eV/cell
1.0
0.009 -2.314 3.236
-3.434 -0.987 1.749
-1.344 -3.737 -0.223
Os P H
2 1 1
direct
0.750 0.750 0.750
0.250 0.250 0.250
0.500 0.500 0.500
0.000 0.000 0.000

---

*B*
PHOs2 (PBE, optimized geometry); size of the total moment = 0.000 Bohr magnetons per cell; Fermi-level density of states = 4.20 states/eV/cell
1.0
-2.727 3.273 -1.180
-2.681 -2.932 -1.937
-5.367 -0.405 2.998
Os P H
4 2 2
direct
0.529 0.125 0.250
0.221 0.625 0.250
0.375 0.471 0.750
0.875 0.779 0.750
0.000 0.000 0.000
0.750 0.250 0.500
0.500 0.500 0.000
0.250 0.750 0.500

---

So which one wins? Going from most stable to least: *A*, *B*.

---

*A*
P3HOs (PBE, optimized geometry); size of the total moment = 0.000 Bohr magnetons per cell; Fermi-level density of states = 1.89 states/eV/cell
1.0
3.877 0.000 0.000
0.000 3.877 0.000
0.000 0.000 3.877
P H Os
3 1 1
direct
0.000 0.500 0.000
0.500 0.000 0.000
0.000 0.000 0.500
0.000 0.000 0.000
0.500 0.500 0.500

---

*B*
P3HOs (PBE, optimized geometry); size of the total moment = 0.000 Bohr magnetons per cell; Fermi-level density of states = 3.13 states/eV/cell
1.0
4.589 0.000 0.000
0.000 4.589 0.000
0.000 0.000 4.589
P Os H
3 1 1
direct
0.500 0.000 0.000
0.000 0.500 0.000
0.000 0.000 0.500
0.000 0.000 0.000
0.500 0.500 0.500

---

So which one wins? Going from most stable to least: *A*, *B*.

---

*A*
PHOsRu (PBE, optimized geometry); size of the total moment = 0.000 Bohr magnetons per cell; Fermi-level density of states = 6.57 states/eV/cell
1.0
-1.224 -3.472 1.399
3.676 0.391 -1.358
3.142 2.627 9.267
Os H P Ru
3 3 3 3
direct
0.333 0.667 0.492
0.000 0.000 0.825
0.667 0.333 0.159
0.000 0.000 0.988
0.667 0.333 0.321
0.333 0.667 0.655
0.000 0.000 0.565
0.333 0.667 0.231
0.667 0.333 0.898
0.667 0.333 0.662
0.000 0.000 0.329
0.333 0.667 0.996

---

*B*
PHOsRu (PBE, optimized geometry); size of the total moment = 0.000 Bohr magnetons per cell; Fermi-level density of states = 2.63 states/eV/cell
1.0
2.970 0.000 0.001
0.000 3.696 0.000
-1.383 0.000 4.119
P Ru Os H
1 1 1 1
direct
0.673 0.500 0.328
0.128 0.000 0.192
0.374 0.500 0.757
0.230 0.000 0.773

---

So which one wins? Going from most stable to least: *B*, *A*.

---

*A*
PHOsRu (PBE, optimized geometry); size of the total moment = 0.000 Bohr magnetons per cell; Fermi-level density of states = 4.26 states/eV/cell
1.0
-0.840 4.930 0.879
-2.455 -0.099 -1.791
-2.643 -6.338 3.970
P H Os Ru
2 2 2 2
direct
0.380 0.500 0.897
0.380 0.000 0.397
0.858 0.500 0.903
0.858 0.000 0.403
0.272 0.500 0.142
0.272 0.000 0.642
0.782 0.500 0.651
0.782 0.000 0.151

---

*B*
PHOsRu (PBE, optimized geometry); size of the total moment = 0.000 Bohr magnetons per cell; Fermi-level density of states = 2.43 states/eV/cell
1.0
2.864 -0.001 0.000
1.425 3.658 -0.005
0.005 0.674 4.429
H Ru P Os
1 1 1 1
direct
0.317 0.409 0.233
0.089 0.889 0.093
0.772 0.522 0.806
0.468 0.129 0.576

---

So which one wins? Going from most stable to least: *A*, *B*.